(1)
# SmErTl2, optimized geometry, DFT GGA-PBE
data_SmErTl2
_chemical_formula_sum 'Sm4 Er4 Tl8'
_symmetry_space_group_name_H-M 'F m -3 m'
_symmetry_Int_Tables_number 225
_symmetry_space_group_name_Hall '-F 4 2 3'
_cell_length_a 7.636
_cell_length_b 7.636
_cell_length_c 7.636
_cell_angle_alpha 90.00
_cell_angle_beta 90.00
_cell_angle_gamma 90.00
loop_
_atom_site_label
_atom_site_fract_x
_atom_site_fract_y
_atom_site_fract_z
Sm1 0.000 0.000 0.000
Er1 0.000 0.000 0.500
Tl1 0.250 0.250 0.250
# * crystal system: cubic
# * D(E_F): 11.3 states/eV per cell
# * raw total energy: -3.8491 eV/atom

(2)
# Sm2Er3Tl2, optimized geometry, DFT GGA-PBE
data_Sm2Er3Tl2
_chemical_formula_sum 'Sm4 Er6 Tl4'
_symmetry_space_group_name_H-M 'C 1 2/m 1'
_symmetry_Int_Tables_number 12
_symmetry_space_group_name_Hall '-C 2y'
_cell_length_a 9.379
_cell_length_b 5.425
_cell_length_c 8.687
_cell_angle_alpha 90.00
_cell_angle_beta 111.17
_cell_angle_gamma 90.00
loop_
_atom_site_label
_atom_site_fract_x
_atom_site_fract_y
_atom_site_fract_z
Sm1 0.076 0.000 0.226
Er1 0.000 0.500 0.500
Er2 0.153 0.500 0.960
Tl1 0.217 0.000 0.651
# * crystal system: monoclinic
# * D(E_F): 13.0 states/eV per cell
# * raw total energy: -4.1756 eV/atom

(3)
# Sm6ErTl4, optimized geometry, DFT GGA-PBE
data_Sm6ErTl4
_chemical_formula_sum 'Sm12 Er2 Tl8'
_symmetry_space_group_name_H-M 'I -4 2 m'
_symmetry_Int_Tables_number 121
_symmetry_space_group_name_Hall 'I -4 2'
_cell_length_a 6.522
_cell_length_b 6.522
_cell_length_c 16.832
_cell_angle_alpha 90.00
_cell_angle_beta 90.00
_cell_angle_gamma 90.00
loop_
_atom_site_label
_atom_site_fract_x
_atom_site_fract_y
_atom_site_fract_z
Sm1 0.000 0.500 0.000
Sm2 0.236 0.236 0.179
Er1 0.000 0.000 0.500
Tl1 0.242 0.242 0.366
# * crystal system: tetragonal
# * D(E_F): 20.1 states/eV per cell
# * raw total energy: -4.0059 eV/atom

(4)
# Sm3Er3Tl5, optimized geometry, DFT GGA-PBE
data_Sm3Er3Tl5
_chemical_formula_sum 'Sm3 Er3 Tl5'
_symmetry_space_group_name_H-M 'P -6 2 m'
_symmetry_Int_Tables_number 189
_symmetry_space_group_name_Hall 'P -6 -2'
_cell_length_a 9.2862
_cell_length_b 9.2862
_cell_length_c 5.6043
_cell_angle_alpha 90.00
_cell_angle_beta 90.00
_cell_angle_gamma 120.00
loop_
_atom_site_label
_atom_site_fract_x
_atom_site_fract_y
_atom_site_fract_z
Sm1 0.0000 0.4284 0.0000
Er1 0.0000 0.6753 0.5000
Tl1 0.0000 0.3051 0.5000
Tl2 0.3333 0.6667 0.5000
# * crystal system: hexagonal
# * D(E_F): 10.1 states/eV per cell
# * raw total energy: -3.3046 eV/atom

(5)
# Sm8ErTl2, optimized geometry, DFT GGA-PBE
data_Sm8ErTl2
_chemical_formula_sum 'Sm16 Er2 Tl4'
_symmetry_space_group_name_H-M 'C 1 2/m 1'
_symmetry_Int_Tables_number 12
_symmetry_space_group_name_Hall '-C 2y'
_cell_length_a 8.962
_cell_length_b 15.487
_cell_length_c 5.752
_cell_angle_alpha 90.00
_cell_angle_beta 115.35
_cell_angle_gamma 90.00
loop_
_atom_site_label
_atom_site_fract_x
_atom_site_fract_y
_atom_site_fract_z
Sm1 0.000 0.218 0.000
Sm2 0.097 0.500 0.795
Sm3 0.207 0.113 0.618
Er1 0.000 0.000 0.000
Tl1 0.000 0.306 0.500
# * crystal system: monoclinic
# * D(E_F): 29.9 states/eV per cell
# * raw total energy: -4.2966 eV/atom

(6)
# Sm9Er4Tl11, optimized geometry, DFT GGA-PBE
data_Sm9Er4Tl11
_chemical_formula_sum 'Sm18 Er8 Tl22'
_symmetry_space_group_name_H-M 'C m m m'
_symmetry_Int_Tables_number 65
_symmetry_space_group_name_Hall '-C 2 2'
_cell_length_a 17.800
_cell_length_b 21.494
_cell_length_c 3.587
_cell_angle_alpha 90.00
_cell_angle_beta 90.00
_cell_angle_gamma 90.00
loop_
_atom_site_label
_atom_site_fract_x
_atom_site_fract_y
_atom_site_fract_z
Sm1 0.000 0.000 0.000
Sm2 0.117 0.241 0.000
Sm3 0.120 0.413 0.000
Er1 0.152 0.084 0.000
Tl1 0.000 0.135 0.500
Tl2 0.000 0.329 0.500
Tl3 0.000 0.500 0.500
Tl4 0.238 0.500 0.500
Tl5 0.243 0.326 0.500
# * crystal system: orthorhombic
# * D(E_F): 49.2 states/eV per cell
# * raw total energy: -3.8984 eV/atom

(7)
# SmErTl2, optimized geometry, DFT GGA-PBE
data_SmErTl2
_chemical_formula_sum 'Sm1 Er1 Tl2'
_symmetry_space_group_name_H-M 'P 4/m m m'
_symmetry_Int_Tables_number 123
_symmetry_space_group_name_Hall '-P 4 2'
_cell_length_a 3.813
_cell_length_b 3.813
_cell_length_c 7.618
_cell_angle_alpha 90.00
_cell_angle_beta 90.00
_cell_angle_gamma 90.00
loop_
_atom_site_label
_atom_site_fract_x
_atom_site_fract_y
_atom_site_fract_z
Sm1 0.000 0.000 0.000
Er1 0.000 0.000 0.500
Tl1 0.500 0.500 0.260
# * crystal system: tetragonal
# * D(E_F): 2.9 states/eV per cell
# * raw total energy: -3.8545 eV/atom

(8)
# SmEr5Tl6, optimized geometry, DFT GGA-PBE
data_SmEr5Tl6
_chemical_formula_sum 'Sm2 Er10 Tl12'
_symmetry_space_group_name_H-M 'C 1 2/m 1'
_symmetry_Int_Tables_number 12
_symmetry_space_group_name_Hall '-C 2y'
_cell_length_a 9.236
_cell_length_b 16.098
_cell_length_c 5.355
_cell_angle_alpha 90.00
_cell_angle_beta 125.26
_cell_angle_gamma 90.00
loop_
_atom_site_label
_atom_site_fract_x
_atom_site_fract_y
_atom_site_fract_z
Sm1 0.000 0.000 0.000
Er1 0.000 0.165 0.500
Er2 0.000 0.333 0.000
Er3 0.000 0.500 0.500
Tl1 0.243 0.500 0.243
Tl2 0.247 0.331 0.747
# * crystal system: monoclinic
# * D(E_F): 18.6 states/eV per cell
# * raw total energy: -3.7980 eV/atom

(9)
# SmEr3Tl, optimized geometry, DFT GGA-PBE
data_SmEr3Tl
_chemical_formula_sum 'Sm4 Er12 Tl4'
_symmetry_space_group_name_H-M 'C m c m'
_symmetry_Int_Tables_number 63
_symmetry_space_group_name_Hall '-C 2c 2'
_cell_length_a 7.970
_cell_length_b 13.807
_cell_length_c 6.060
_cell_angle_alpha 90.00
_cell_angle_beta 90.00
_cell_angle_gamma 90.00
loop_
_atom_site_label
_atom_site_fract_x
_atom_site_fract_y
_atom_site_fract_z
Sm1 0.000 0.167 0.250
Er1 0.000 0.306 0.750
Er2 0.209 0.097 0.750
Tl1 0.000 0.500 0.000
# * crystal system: orthorhombic
# * D(E_F): 30.6 states/eV per cell
# * raw total energy: -4.0305 eV/atom

(10)
# SmEr5Tl2, optimized geometry, DFT GGA-PBE
data_SmEr5Tl2
_chemical_formula_sum 'Sm2 Er10 Tl4'
_symmetry_space_group_name_H-M 'I m m m'
_symmetry_Int_Tables_number 71
_symmetry_space_group_name_Hall '-I 2 2'
_cell_length_a 3.627
_cell_length_b 10.364
_cell_length_c 12.654
_cell_angle_alpha 90.00
_cell_angle_beta 90.00
_cell_angle_gamma 90.00
loop_
_atom_site_label
_atom_site_fract_x
_atom_site_fract_y
_atom_site_fract_z
Sm1 0.000 0.000 0.000
Er1 0.000 0.227 0.366
Er2 0.000 0.500 0.000
Tl1 0.000 0.500 0.259
# * crystal system: orthorhombic
# * D(E_F): 21.7 states/eV per cell
# * raw total energy: -4.1530 eV/atom

(11)
# Sm3Er2Tl4, optimized geometry, DFT GGA-PBE
data_Sm3Er2Tl4
_chemical_formula_sum 'Sm12 Er8 Tl16'
_symmetry_space_group_name_H-M 'C 1 2/c 1'
_symmetry_Int_Tables_number 15
_symmetry_space_group_name_Hall '-C 2yc'
_cell_length_a 15.578
_cell_length_b 11.751
_cell_length_c 6.026
_cell_angle_alpha 90.00
_cell_angle_beta 101.53
_cell_angle_gamma 90.00
loop_
_atom_site_label
_atom_site_fract_x
_atom_site_fract_y
_atom_site_fract_z
Sm1 0.000 0.104 0.250
Sm2 0.127 0.389 0.024
Er1 0.220 0.112 0.379
Tl1 0.081 0.332 0.493
Tl2 0.135 0.128 0.836
# * crystal system: monoclinic
# * D(E_F): 39.4 states/eV per cell
# * raw total energy: -3.8374 eV/atom

(12)
# Sm2ErTl, optimized geometry, DFT GGA-PBE
data_Sm2ErTl
_chemical_formula_sum 'Sm8 Er4 Tl4'
_symmetry_space_group_name_H-M 'F m -3 m'
_symmetry_Int_Tables_number 225
_symmetry_space_group_name_Hall '-F 4 2 3'
_cell_length_a 7.821
_cell_length_b 7.821
_cell_length_c 7.821
_cell_angle_alpha 90.00
_cell_angle_beta 90.00
_cell_angle_gamma 90.00
loop_
_atom_site_label
_atom_site_fract_x
_atom_site_fract_y
_atom_site_fract_z
Sm1 0.250 0.250 0.250
Er1 0.000 0.000 0.000
Tl1 0.000 0.000 0.500
# * crystal system: cubic
# * D(E_F): 23.0 states/eV per cell
# * raw total energy: -4.1502 eV/atom

(13)
# SmEr2Tl, optimized geometry, DFT GGA-PBE
data_SmEr2Tl
_chemical_formula_sum 'Sm3 Er6 Tl3'
_symmetry_space_group_name_H-M 'R -3 m'
_symmetry_Int_Tables_number 166
_symmetry_space_group_name_Hall '-R 3 2"'
_cell_length_a 3.5568
_cell_length_b 3.5568
_cell_length_c 32.9958
_cell_angle_alpha 90.00
_cell_angle_beta 90.00
_cell_angle_gamma 120.00
loop_
_atom_site_label
_atom_site_fract_x
_atom_site_fract_y
_atom_site_fract_z
Sm1 0.0000 0.0000 0.0000
Er1 0.0000 0.0000 0.2457
Tl1 0.0000 0.0000 0.5000
# * crystal system: trigonal
# * D(E_F): 11.8 states/eV per cell
# * raw total energy: -4.1647 eV/atom

(14)
# SmEr6Tl6, optimized geometry, DFT GGA-PBE
data_SmEr6Tl6
_chemical_formula_sum 'Sm1 Er6 Tl6'
_symmetry_space_group_name_H-M 'P 6/m m m'
_symmetry_Int_Tables_number 191
_symmetry_space_group_name_Hall '-P 6 2'
_cell_length_a 6.3985
_cell_length_b 6.3985
_cell_length_c 10.4820
_cell_angle_alpha 90.00
_cell_angle_beta 90.00
_cell_angle_gamma 120.00
loop_
_atom_site_label
_atom_site_fract_x
_atom_site_fract_y
_atom_site_fract_z
Sm1 0.0000 0.0000 0.0000
Er1 0.0000 0.0000 0.3383
Er2 0.3333 0.6667 0.0000
Er3 0.3333 0.6667 0.5000
Tl1 0.0000 0.5000 0.2459
# * crystal system: hexagonal
# * D(E_F): 11.0 states/eV per cell
# * raw total energy: -3.7311 eV/atom

(15)
# SmEr7Tl2, optimized geometry, DFT GGA-PBE
data_SmEr7Tl2
_chemical_formula_sum 'Sm2 Er14 Tl4'
_symmetry_space_group_name_H-M 'C m m m'
_symmetry_Int_Tables_number 65
_symmetry_space_group_name_Hall '-C 2 2'
_cell_length_a 9.112
_cell_length_b 15.314
_cell_length_c 5.382
_cell_angle_alpha 90.00
_cell_angle_beta 90.00
_cell_angle_gamma 90.00
loop_
_atom_site_label
_atom_site_fract_x
_atom_site_fract_y
_atom_site_fract_z
Sm1 0.000 0.000 0.000
Er1 0.000 0.229 0.000
Er2 0.000 0.500 0.500
Er3 0.181 0.122 0.500
Tl1 0.000 0.305 0.500
# * crystal system: orthorhombic
# * D(E_F): 40.4 states/eV per cell
# * raw total energy: -3.7695 eV/atom

(16)
# Sm2Er2Tl3, optimized geometry, DFT GGA-PBE
data_Sm2Er2Tl3
_chemical_formula_sum 'Sm4 Er4 Tl6'
_symmetry_space_group_name_H-M 'C m m m'
_symmetry_Int_Tables_number 65
_symmetry_space_group_name_Hall '-C 2 2'
_cell_length_a 3.522
_cell_length_b 32.301
_cell_length_c 3.587
_cell_angle_alpha 90.00
_cell_angle_beta 90.00
_cell_angle_gamma 90.00
loop_
_atom_site_label
_atom_site_fract_x
_atom_site_fract_y
_atom_site_fract_z
Sm1 0.000 0.069 0.000
Er1 0.000 0.203 0.000
Tl1 0.000 0.361 0.500
Tl2 0.000 0.500 0.500
# * crystal system: orthorhombic
# * D(E_F): 14.7 states/eV per cell
# * raw total energy: -3.8880 eV/atom

(17)
# Sm4Er15Tl, optimized geometry, DFT GGA-PBE
data_Sm4Er15Tl
_chemical_formula_sum 'Sm4 Er15 Tl1'
_symmetry_space_group_name_H-M 'P 4/m m m'
_symmetry_Int_Tables_number 123
_symmetry_space_group_name_Hall '-P 4 2'
_cell_length_a 4.946
_cell_length_b 4.946
_cell_length_c 25.048
_cell_angle_alpha 90.00
_cell_angle_beta 90.00
_cell_angle_gamma 90.00
loop_
_atom_site_label
_atom_site_fract_x
_atom_site_fract_y
_atom_site_fract_z
Sm1 0.000 0.000 0.101
Sm2 0.000 0.000 0.302
Er1 0.000 0.500 0.000
Er2 0.000 0.500 0.202
Er3 0.000 0.500 0.403
Er4 0.500 0.500 0.101
Er5 0.500 0.500 0.305
Er6 0.500 0.500 0.500
Tl1 0.000 0.000 0.500
# * crystal system: tetragonal
# * D(E_F): 23.9 states/eV per cell
# * raw total energy: -4.4957 eV/atom

(18)
# SmEr2Tl4, optimized geometry, DFT GGA-PBE
data_SmEr2Tl4
_chemical_formula_sum 'Sm3 Er6 Tl12'
_symmetry_space_group_name_H-M 'R -3 m'
_symmetry_Int_Tables_number 166
_symmetry_space_group_name_Hall '-R 3 2"'
_cell_length_a 4.8878
_cell_length_b 4.8878
_cell_length_c 30.2936
_cell_angle_alpha 90.00
_cell_angle_beta 90.00
_cell_angle_gamma 120.00
loop_
_atom_site_label
_atom_site_fract_x
_atom_site_fract_y
_atom_site_fract_z
Sm1 0.0000 0.0000 0.0000
Er1 0.0000 0.0000 0.1299
Tl1 0.0000 0.0000 0.2414
Tl2 0.0000 0.0000 0.3843
# * crystal system: trigonal
# * D(E_F): 14.3 states/eV per cell
# * raw total energy: -3.4232 eV/atom

(19)
# SmErTl3, optimized geometry, DFT GGA-PBE
data_SmErTl3
_chemical_formula_sum 'Sm2 Er2 Tl6'
_symmetry_space_group_name_H-M 'P 63/m m c'
_symmetry_Int_Tables_number 194
_symmetry_space_group_name_Hall '-P 6c 2c'
_cell_length_a 7.3438
_cell_length_b 7.3438
_cell_length_c 6.5227
_cell_angle_alpha 90.00
_cell_angle_beta 90.00
_cell_angle_gamma 120.00
loop_
_atom_site_label
_atom_site_fract_x
_atom_site_fract_y
_atom_site_fract_z
Sm1 0.3333 0.6667 0.2500
Er1 0.0000 0.0000 0.0000
Tl1 0.1985 0.3970 0.7500
# * crystal system: hexagonal
# * D(E_F): 7.4 states/eV per cell
# * raw total energy: -3.3652 eV/atom

(20)
# Sm6ErTl5, optimized geometry, DFT GGA-PBE
data_Sm6ErTl5
_chemical_formula_sum 'Sm12 Er2 Tl10'
_symmetry_space_group_name_H-M 'C 1 2/m 1'
_symmetry_Int_Tables_number 12
_symmetry_space_group_name_Hall '-C 2y'
_cell_length_a 10.436
_cell_length_b 11.490
_cell_length_c 6.358
_cell_angle_alpha 90.00
_cell_angle_beta 102.88
_cell_angle_gamma 90.00
loop_
_atom_site_label
_atom_site_fract_x
_atom_site_fract_y
_atom_site_fract_z
Sm1 0.220 0.000 0.217
Sm2 0.226 0.180 0.733
Er1 0.000 0.500 0.000
Tl1 0.000 0.000 0.500
Tl2 0.000 0.207 0.000
Tl3 0.000 0.364 0.500
# * crystal system: monoclinic
# * D(E_F): 24.0 states/eV per cell
# * raw total energy: -3.9126 eV/atom

(21)
# Sm3ErTl4, optimized geometry, DFT GGA-PBE
data_Sm3ErTl4
_chemical_formula_sum 'Sm6 Er2 Tl8'
_symmetry_space_group_name_H-M 'P m n 21'
_symmetry_Int_Tables_number 31
_symmetry_space_group_name_Hall 'P 2ac -2'
_cell_length_a 10.813
_cell_length_b 6.547
_cell_length_c 6.621
_cell_angle_alpha 90.00
_cell_angle_beta 90.00
_cell_angle_gamma 90.00
loop_
_atom_site_label
_atom_site_fract_x
_atom_site_fract_y
_atom_site_fract_z
Sm1 0.000 0.064 0.000
Sm2 0.244 0.742 0.180
Er1 0.000 0.556 0.852
Tl1 0.000 0.010 0.491
Tl2 0.000 0.501 0.369
Tl3 0.243 0.758 0.680
# * crystal system: orthorhombic
# * D(E_F): 13.9 states/eV per cell
# * raw total energy: -3.7579 eV/atom

(22)
# Sm4Er4Tl, optimized geometry, DFT GGA-PBE
data_Sm4Er4Tl
_chemical_formula_sum 'Sm4 Er4 Tl1'
_symmetry_space_group_name_H-M 'P -1'
_symmetry_Int_Tables_number 2
_symmetry_space_group_name_Hall '-P 1'
_cell_length_a 6.286
_cell_length_b 6.481
_cell_length_c 7.618
_cell_angle_alpha 73.94
_cell_angle_beta 74.83
_cell_angle_gamma 87.80
loop_
_atom_site_label
_atom_site_fract_x
_atom_site_fract_y
_atom_site_fract_z
Sm1 0.185 0.191 0.321
Sm2 0.278 0.612 0.897
Er1 0.133 0.162 0.782
Er2 0.309 0.659 0.415
Tl1 0.500 0.000 0.000
# * crystal system: triclinic
# * D(E_F): 11.6 states/eV per cell
# * raw total energy: -4.3688 eV/atom

| no. | energy of formation from the pure elements (eV per atom) |
| --- | --- |
| 1 | -0.345 |
| 2 | -0.196 |
| 3 | -0.157 |
| 4 | 0.302 |
| 5 | -0.019 |
| 6 | -0.284 |
| 7 | -0.351 |
| 8 | -0.320 |
| 9 | 0.124 |
| 10 | -0.120 |
| 11 | -0.199 |
| 12 | -0.058 |
| 13 | -0.112 |
| 14 | -0.170 |
| 15 | 0.370 |
| 16 | -0.222 |
| 17 | -0.011 |
| 18 | -0.093 |
| 19 | -0.089 |
| 20 | -0.187 |
| 21 | -0.235 |
| 22 | 0.019 |